a:
# Sc3FeCl

A geometry-optimized Sc3FeCl structure (PBE, Alexandria via LeMat-Bulk).

Values from the calculation:
Volume, Å³ per atom: 21.2
Density of states at the Fermi level, states/eV per cell: 8.3
Space group: Pm-3m, No. 221

Geometry as POSCAR:
```
Sc3FeCl
1.0
4.7299 0.0000 0.0000
0.0000 4.7299 0.0000
0.0000 0.0000 4.7299
Sc Fe Cl
3 1 1
direct
0.0000 0.0000 0.5000
0.0000 0.5000 0.0000
0.5000 0.0000 0.0000
0.5000 0.5000 0.5000
0.0000 0.0000 0.0000
```


b:
# Sc3FeCl

A geometry-optimized Sc3FeCl structure (PBE, Alexandria via LeMat-Bulk).

Values from the calculation:
Volume, Å³ per atom: 23.3
Density of states at the Fermi level, states/eV per cell: 7.0
Space group: Pm-3m, No. 221

Geometry as POSCAR:
```
Sc3FeCl
1.0
4.8837 0.0000 0.0000
0.0000 4.8837 0.0000
0.0000 0.0000 4.8837
Sc Fe Cl
3 1 1
direct
0.0000 0.0000 0.5000
0.0000 0.5000 0.0000
0.5000 0.0000 0.0000
0.0000 0.0000 0.0000
0.5000 0.5000 0.5000
```


b wins, 18 meV/atom ahead of the next structure.